# 1
## BaLi2AlZn (PBE)

Data for crystalline BaLi2AlZn at its relaxed geometry.

Unit cell a=5.194 b=5.194 c=4.911 alpha=90.00 beta=90.00 gamma=90.00
Fractional positions:
Li: 0.000 0.500 0.000
Li: 0.500 0.000 0.000
Ba: 0.500 0.500 0.500
Al: 0.000 0.000 0.000
Zn: 0.000 0.000 0.500

Values from the calculation:
As for the formation energy: -0.026 eV/atom. The energy above the most stable polymorph in this dataset comes out at 6 meV per atom. As for the total moment: 0.0 μB per formula unit. The calculation puts the total energy at -10.89 eV for the cell shown. The symmetry is P4/mmm (123).

# 2
## SmLuBi (PBE)

Data for crystalline SmLuBi at its relaxed geometry.

Unit cell a=4.040 b=4.040 c=6.192 alpha=109.04 beta=109.04 gamma=90.00
Last column: magnetic moment on the atom in μB.
Fractional positions:
Lu: 0.936 0.936 0.872  -0.30
Bi: 0.290 0.290 0.579  0.01
Sm: 0.624 0.624 0.248  -0.25

Values from the calculation:
As for the formation energy: -0.439 eV/atom. As for the total moment: 1.0 μB per formula unit. The calculation puts the total energy at -14.44 eV for the cell shown. The symmetry is I4mm (107).

# 3
## BeTe3Pd (PBE)

Data for crystalline BeTe3Pd at its relaxed geometry.

Unit cell a=4.922 b=4.922 c=4.922 alpha=90.00 beta=90.00 gamma=90.00
Fractional positions:
Te: 0.500 0.000 0.000
Te: 0.000 0.500 0.000
Te: 0.000 0.000 0.500
Be: 0.000 0.000 0.000
Pd: 0.500 0.500 0.500

Values from the calculation:
As for the formation energy from raw total energies: 544 meV per atom. The energy above the most stable polymorph in this dataset comes out at 0 meV per atom. As for the total moment: 0.0 μB per formula unit. The calculation puts the total energy at -15.63 eV for the cell shown. The symmetry is Pm-3m (221).

# 4
## Nd2YIr9 (PBE)

Data for crystalline Nd2YIr9 at its relaxed geometry.

Unit cell a=5.349 b=5.349 c=9.400 alpha=73.47 beta=73.47 gamma=60.00
Fractional positions:
Ir: 0.421 0.421 0.242
Ir: 0.668 0.668 0.997
Ir: 0.332 0.332 0.003
Ir: 0.579 0.084 0.758
Ir: 0.916 0.421 0.242
Ir: 0.579 0.579 0.758
Ir: 0.084 0.579 0.758
Ir: 0.500 0.500 0.500
Ir: 0.421 0.916 0.242
Nd: 0.861 0.861 0.418
Nd: 0.139 0.139 0.582
Y: 0.000 0.000 0.000

Values from the calculation:
As for the formation energy: -0.519 eV/atom. As for the total moment: 0.0 μB per formula unit. The calculation puts the total energy at -101.97 eV for the cell shown. The symmetry is R-3m (166).

# 5
## TlOsRh2 (PBE)

Data for crystalline TlOsRh2 at its relaxed geometry.

Unit cell a=4.507 b=4.507 c=4.507 alpha=60.00 beta=60.00 gamma=60.00
Fractional positions:
Tl: 0.250 0.250 0.250
Os: 0.500 0.500 0.500
Rh: 0.000 0.000 0.000
Rh: 0.750 0.750 0.750

Values from the calculation:
As for the formation energy: 0.615 eV/atom. The energy above the most stable polymorph in this dataset comes out at 393 meV per atom. As for the total moment: 0.0 μB per formula unit. The calculation puts the total energy at -25.84 eV for the cell shown. The symmetry is F-43m (216).

# 6
## NdHo3Al4 (PBE)

Data for crystalline NdHo3Al4 at its relaxed geometry.

Unit cell a=5.106 b=7.284 c=10.211 alpha=90.00 beta=90.00 gamma=90.00
Fractional positions:
Ho: 0.500 0.500 0.250
Ho: 0.500 0.000 0.750
Ho: 0.500 0.500 0.750
Ho: 0.500 0.000 0.250
Ho: 0.000 0.000 0.000
Ho: 0.000 0.000 0.500
Al: 0.500 0.242 0.000
Al: 0.000 0.758 0.250
Al: 0.500 0.758 0.500
Al: 0.000 0.242 0.250
Al: 0.000 0.758 0.750
Al: 0.000 0.242 0.750
Al: 0.500 0.242 0.500
Al: 0.500 0.758 0.000
Nd: 0.000 0.500 0.500
Nd: 0.000 0.500 0.000

Values from the calculation:
As for the formation energy: -0.381 eV/atom. As for the total moment: 0.0 μB per formula unit. The calculation puts the total energy at -73.04 eV for the cell shown. The symmetry is P4/mmm (123).

# 7
## DyErPuMg (PBE)

Data for crystalline DyErPuMg at its relaxed geometry.

Unit cell a=5.432 b=5.432 c=5.432 alpha=60.00 beta=60.00 gamma=60.00
Last column: magnetic moment on the atom in μB.
Fractional positions:
Er: 0.750 0.750 0.750  0.21
Dy: 0.250 0.250 0.250  0.21
Pu: 0.500 0.500 0.500  5.52
Mg: 0.000 0.000 0.000  -0.01

Values from the calculation:
As for the formation energy: 0.147 eV/atom. As for the total moment: 6.2 μB per formula unit. The calculation puts the total energy at -24.50 eV for the cell shown. The symmetry is F-43m (216).

# 8
## ErPuAl (PBE)

Data for crystalline ErPuAl at its relaxed geometry.

Unit cell a=3.226 b=5.099 c=5.099 alpha=120.00 beta=90.00 gamma=90.00
Last column: magnetic moment on the atom in μB.
Fractional positions:
Al: 0.343 0.667 0.333  -0.04
Pu: 0.029 0.000 0.000  5.47
Er: 0.628 0.333 0.667  0.20

Values from the calculation:
As for the formation energy: -0.052 eV/atom. The energy above the most stable polymorph in this dataset comes out at 43 meV per atom. As for the total moment: 5.9 μB per formula unit. The calculation puts the total energy at -22.79 eV for the cell shown. The symmetry is P3m1 (156).